Record 1
# DyPa2Al

A relaxed structure of DyPa2Al (PBE, Alexandria).

## Properties
For the distance to the lowest polymorph of the same formula, the calculation gives 0.0 meV per atom. For the volume, the calculation gives 97 Å³/cell.

Cell lengths 4.9985, 4.3956, 4.3956 Å; angles 90.00, 90.00, 90.00 degrees
Atoms (fractional coordinates):
Pa  0.0000  0.0000  0.5000
Pa  0.0000  0.5000  0.0000
Al  0.5000  0.5000  0.5000
Dy  0.5000  0.0000  0.0000

Record 2
# KTl3S3

A relaxed structure of KTl3S3 (PBE, Alexandria).

## Properties
For the volume, the calculation gives 414 Å³/cell. Its formation energy (no corrections) is -0.27 eV per atom.

Cell lengths 5.0704, 9.7111, 9.7111 Å; angles 120.00, 90.00, 90.00 degrees
Atoms (fractional coordinates):
K  0.2500  0.6667  0.3333
K  0.7500  0.3333  0.6667
Tl  0.7500  0.8616  0.7061
Tl  0.7500  0.8445  0.1384
Tl  0.2500  0.7061  0.8445
Tl  0.7500  0.2939  0.1555
Tl  0.2500  0.1555  0.8616
Tl  0.2500  0.1384  0.2939
S  0.7500  0.5171  0.4914
S  0.7500  0.9744  0.4829
S  0.2500  0.4914  0.9744
S  0.7500  0.5086  0.0256
S  0.2500  0.0256  0.5171
S  0.2500  0.4829  0.5086

Record 3
# Na2TlAs

A relaxed structure of Na2TlAs (PBE, Alexandria).

## Properties
The value obtained for the final energy is -2.295 eV/atom. For the volume, the calculation gives 116 Å³/cell.

Cell lengths 6.9270, 6.9270, 6.9270 Å; angles 58.22, 152.94, 129.51 degrees
Atoms (fractional coordinates):
Na  0.0000  0.2309  0.2309
Na  0.0000  0.7691  0.7691
Tl  0.0000  0.5000  0.5000
As  0.0000  0.0000  0.0000

Record 4
# SrTlW

A relaxed structure of SrTlW (PBE, Alexandria).

## Properties
For the distance to the lowest polymorph of the same formula, the calculation gives 900.2 meV per atom. For the volume, the calculation gives 100 Å³/cell.

Cell lengths 5.2144, 5.2144, 5.2144 Å; angles 60.00, 60.00, 60.00 degrees
Atoms (fractional coordinates):
Sr  0.7500  0.7500  0.7500
Tl  0.0000  0.0000  0.0000
W  0.5000  0.5000  0.5000

Record 5
# Sn5BiSb4

A relaxed structure of Sn5BiSb4 (PBE, Alexandria).

## Properties
For the distance to the lowest polymorph of the same formula, the calculation gives 0.0 meV per atom. For the volume, the calculation gives 301 Å³/cell. Its formation energy (no corrections) is 0.03 eV per atom.

Cell lengths 4.4049, 4.4049, 15.8188 Å; angles 98.00, 98.00, 90.00 degrees
Atoms (fractional coordinates):
Sn  0.1026  0.1026  0.2052
Sn  0.5000  0.5000  0.0000
Sn  0.8974  0.8974  0.7948
Sn  0.3006  0.3006  0.6012
Sn  0.6994  0.6994  0.3988
Bi  0.0000  0.0000  0.0000
Sb  0.3998  0.3998  0.7997
Sb  0.7992  0.7992  0.5985
Sb  0.2008  0.2008  0.4015
Sb  0.6002  0.6002  0.2003